[1]
Compound: Sr7HfN6
Source: Alexandria
Functional: PBE-GGA
Structure: optimized geometry

Results
Raw formation energy (eV per atom): -0.790
SG: No. 60

Lattice parameters (Å, degrees): 6.8010 12.3134 13.8597 90.00 90.00 90.00
Last column: nearest neighbours and their distance in Å.
Atoms (fractional coordinates):
1 Sr 0.4791 0.0000 0.7500  4 N 2.69-2.70
2 Sr 0.6179 0.2789 0.8811  4 N 2.53-2.74
3 Sr 0.1179 0.2211 0.8811  4 N 2.53-2.74
4 Sr 0.7262 0.9590 0.5066  4 N 2.55-2.68
5 Sr 0.2738 0.9590 0.0066  4 N 2.55-2.68
6 Sr 0.9791 0.5000 0.7500  4 N 2.69-2.70
7 Sr 0.1485 0.2272 0.1291  4 N 2.58-2.82
8 Sr 0.8515 0.7728 0.8709  4 N 2.58-2.82
9 Sr 0.7738 0.4590 0.4934  4 N 2.55-2.68
10 Sr 0.1179 0.7789 0.6189  4 N 2.53-2.74
11 Sr 0.2262 0.4590 0.9934  4 N 2.55-2.68
12 Sr 0.6485 0.2728 0.1291  4 N 2.58-2.82
13 Sr 0.8515 0.2272 0.6291  4 N 2.58-2.82
14 Sr 0.2262 0.5410 0.5066  4 N 2.55-2.68
15 Sr 0.8821 0.7789 0.1189  4 N 2.53-2.74
16 Sr 0.3515 0.2728 0.6291  4 N 2.58-2.82
17 Sr 0.7738 0.5410 0.0066  4 N 2.55-2.68
18 Sr 0.8821 0.2211 0.3811  4 N 2.53-2.74
19 Sr 0.3821 0.7211 0.1189  4 N 2.53-2.74
20 Sr 0.1485 0.7728 0.3709  4 N 2.58-2.82
21 Sr 0.3515 0.7272 0.8709  4 N 2.58-2.82
22 Sr 0.5209 0.0000 0.2500  4 N 2.69-2.70
23 Sr 0.6179 0.7211 0.6189  4 N 2.53-2.74
24 Sr 0.0209 0.5000 0.2500  4 N 2.69-2.70
25 Sr 0.6485 0.7272 0.3709  4 N 2.58-2.82
26 Sr 0.7262 0.0410 0.9934  4 N 2.55-2.68
27 Sr 0.2738 0.0410 0.4934  4 N 2.55-2.68
28 Sr 0.3821 0.2789 0.3811  4 N 2.53-2.74
29 N 0.2072 0.1140 0.3143  1 Hf 2.09
30 N 0.7072 0.6140 0.1857  1 Hf 2.09
31 N 0.8353 0.0909 0.1637  1 Hf 2.07
32 N 0.2072 0.8860 0.1857  1 Hf 2.09
33 N 0.1647 0.9091 0.8363  1 Hf 2.07
34 N 0.3974 0.1590 0.0028  6 Sr 2.58-2.82
35 N 0.7928 0.8860 0.6857  1 Hf 2.09
36 N 0.8353 0.9091 0.3363  1 Hf 2.07
37 N 0.1026 0.6590 0.9972  6 Sr 2.58-2.82
38 N 0.7928 0.1140 0.8143  1 Hf 2.09
39 N 0.3353 0.5909 0.3363  1 Hf 2.07
40 N 0.8974 0.6590 0.4972  6 Sr 2.58-2.82
41 N 0.1026 0.3410 0.5028  6 Sr 2.58-2.82
42 N 0.3353 0.4091 0.1637  1 Hf 2.07
43 N 0.2928 0.6140 0.6857  1 Hf 2.09
44 N 0.2928 0.3860 0.8143  1 Hf 2.09
45 N 0.7072 0.3860 0.3143  1 Hf 2.09
46 N 0.1647 0.0909 0.6637  1 Hf 2.07
47 N 0.8974 0.3410 0.0028  6 Sr 2.58-2.82
48 N 0.6026 0.1590 0.5028  6 Sr 2.58-2.82
49 N 0.6647 0.4091 0.6637  1 Hf 2.07
50 N 0.6647 0.5909 0.8363  1 Hf 2.07
51 N 0.6026 0.8410 0.9972  6 Sr 2.58-2.82
52 N 0.3974 0.8410 0.4972  6 Sr 2.58-2.82
53 Hf 0.9790 0.0000 0.7500  4 N 2.07-2.09
54 Hf 0.4790 0.5000 0.7500  4 N 2.07-2.09
55 Hf 0.5210 0.5000 0.2500  4 N 2.07-2.09
56 Hf 0.0210 0.0000 0.2500  4 N 2.07-2.09

---

[2]
Compound: K2LiNbOs
Source: Alexandria
Functional: PBE-GGA
Structure: optimized geometry

Results
SG: No. 123
Formation energy (eV per atom): 1.832

Lattice parameters (Å, degrees): 4.2911 5.6369 4.2911 90.00 90.00 90.00
Last column: nearest neighbours and their distance in Å.
Atoms (fractional coordinates):
1 Li 0.0000 0.0000 0.0000  4 K 2.15
2 K 0.0000 0.0000 0.5000  2 Li 2.15
3 K 0.5000 0.0000 0.0000  2 Li 2.15
4 Nb 0.0000 0.5000 0.0000  2 Li 2.82, 4 Os 3.03
5 Os 0.5000 0.5000 0.5000  4 Nb 3.03